# 1
CoCuRu4: relaxed, PBE.

The space group is F-43m (No. 216) and the conventional cell measures 7.114, 7.114 and 7.114 Å, with angles of 90.00, 90.00 and 90.00 degrees. The inequivalent atoms are Co at (0.000, 0.000, 0.000), Cu at (0.250, 0.250, 0.750) and Ru at (0.125, 0.125, 0.375).

For the density of states at the Fermi level, the calculation gives 9.58 states/eV/f.u. The calculation puts the total moment at 18.5 Bohr magnetons per cell. As for the formation energy from the elements: 0.763 eV per atom.

# 2
Co2CuRu: relaxed, PBE.

The space group is Immm (No. 71) and the conventional cell measures 2.709, 4.258 and 8.500 Å, with angles of 90.00, 90.00 and 90.00 degrees. The inequivalent atoms are Co at (0.000, 0.000, 0.247), Cu at (0.000, 0.500, 0.500) and Ru at (0.000, 0.500, 0.000).

For the density of states at the Fermi level, the calculation gives 5.27 states/eV/f.u. The calculation puts the total moment at 8.5 Bohr magnetons per cell. As for the formation energy from the elements: 0.294 eV per atom. As for the energy relative to the lowest polymorph listed for this composition: 114.2 meV/atom.